1.
{
  "formula": "Ce4IrSeS2",
  "functional": "PBE",
  "state": "relaxed",
  "raw_formation_energy_ev_per_atom": -1.60,
  "crystal_system": "monoclinic",
  "dos_ef_per_ev_fu": 21.56,
  "magmom_total_mub_per_fu": 3.3,
  "space_group": "P2/m, No. 10",
  "cell": [[4.027, 0.000, 0.000], [0.000, 7.117, -0.160], [0.000, 2.489, 6.744]],
  "species": ["Se", "S", "Ce", "S", "Ir", "Ce", "Ce", "Ce"],
  "frac_coords": [[0.500, 0.500, 0.000], [0.000, 0.000, 0.000], [0.000, 0.242, 0.261], [0.500, 0.000, 0.500], [0.000, 0.500, 0.500], [0.500, 0.254, 0.738], [0.000, 0.758, 0.739], [0.500, 0.746, 0.262]]
}


2.
{
  "formula": "NbFeSe2",
  "functional": "PBE",
  "state": "relaxed",
  "raw_formation_energy_ev_per_atom": 0.00,
  "crystal_system": "cubic",
  "dos_ef_per_ev_fu": 3.52,
  "magmom_total_mub_per_fu": 0.0,
  "space_group": "Fm-3m, No. 225",
  "cell": [[-2.853, 0.343, 3.385], [-3.576, -2.627, 0.165], [-0.243, -3.232, 3.036]],
  "species": ["Se", "Nb", "Se", "Fe"],
  "frac_coords": [[0.750, 0.750, 0.750], [0.500, 0.500, 0.500], [0.250, 0.250, 0.250], [0.000, 0.000, 0.000]]
}


3.
{
  "formula": "CrRuCl",
  "functional": "PBE",
  "state": "relaxed",
  "raw_formation_energy_ev_per_atom": 0.67,
  "e_above_lowest_polymorph_mev_per_atom": 446,
  "crystal_system": "cubic",
  "dos_ef_per_ev_fu": 1.20,
  "magmom_total_mub_per_fu": 2.6,
  "space_group": "F-43m, No. 216",
  "cell": [[4.164, 0.000, 0.000], [2.082, 3.606, 0.000], [2.082, 1.202, 3.400]],
  "species": ["Ru", "Cr", "Cl"],
  "frac_coords": [[0.750, 0.750, 0.750], [0.500, 0.500, 0.500], [0.000, 0.000, 0.000]]
}